BaBe3O | PBE | optimized geometry

```
BaBe3O
1.0
6.143 0.000 0.000
0.000 6.143 0.000
0.000 0.000 6.143
Be Ba O
3 1 1
Cartesian
3.071 0.000 0.000
0.000 0.000 3.071
0.000 3.071 0.000
0.000 0.000 0.000
3.071 3.071 3.071
```

Results
Energy relative to the elements, uncorrected ... 12.494 eV per formula unit
M_tot ... 0.0 μB per cell

***

BaBeO2 | PBE | optimized geometry

```
BaBeO2
1.0
1.811 0.000 6.438
-0.905 1.568 6.438
-0.905 -1.568 6.438
O Ba Be
2 1 1
Cartesian
0.000 0.000 2.348
0.000 0.000 16.965
0.000 0.000 0.000
0.000 0.000 9.657
```

Results
Energy relative to the elements, uncorrected ... -3.457 eV per formula unit
M_tot ... 0.5 μB per cell

***

BaBeO2 | PBE | optimized geometry

```
BaBeO2
1.0
2.356 0.000 5.492
-1.178 2.041 5.492
-1.178 -2.041 5.492
Be O Ba
1 2 1
Cartesian
0.000 0.000 0.000
0.000 0.000 1.430
0.000 0.000 15.047
0.000 0.000 8.239
```

Results
Energy relative to the elements, uncorrected ... -9.943 eV per formula unit
M_tot ... 0.0 μB per cell

***

BaBe3O | PBE | optimized geometry

```
BaBe3O
1.0
-2.755 -3.150 1.028
1.251 0.248 4.116
-3.068 2.930 0.756
Ba Be O
1 3 1
Cartesian
-2.286 0.014 2.950
0.626 0.124 2.058
-1.534 1.465 0.378
-1.378 -1.575 0.514
0.000 0.000 0.000
```

Results
Energy relative to the elements, uncorrected ... 3.714 eV per formula unit
M_tot ... 0.0 μB per cell

***

BaBeOsO6 | PBE | optimized geometry

```
BaBeOsO6
1.0
5.008 0.000 0.000
2.504 4.337 0.000
0.000 0.000 5.783
Os O Be Ba
1 6 1 1
Cartesian
2.504 1.446 2.891
4.018 1.725 3.956
3.502 2.617 1.826
5.523 4.331 1.826
5.997 1.724 1.827
4.492 4.331 3.956
6.512 2.617 3.956
5.008 2.891 2.891
5.008 0.000 5.782
```

Results
Energy relative to the elements, uncorrected ... -14.871 eV per formula unit
M_tot ... 0.0 μB per cell

***

BaBeOs2O8 | PBE | optimized geometry

```
BaBeOs2O8
1.0
-4.898 -1.180 -1.560
3.900 0.274 -3.539
1.400 -7.119 0.991
Be O Ba Os
1 8 1 2
Cartesian
0.700 -3.560 0.495
-1.890 -1.076 -2.167
-2.994 -3.335 -0.952
0.366 -5.274 -3.074
3.397 -4.690 -3.156
1.882 -4.613 -0.467
2.293 -6.949 -1.942
0.036 -2.751 -1.034
-1.480 -3.411 -3.641
0.000 0.000 0.000
1.944 -5.175 -2.188
-1.541 -2.850 -1.920
```

Results
Energy relative to the elements, uncorrected ... -16.428 eV per formula unit
M_tot ... 4.0 μB per cell

***

BaBe4Os3O12 | PBE | optimized geometry

```
BaBe4Os3O12
1.0
6.409 -0.221 -0.307
-1.759 6.167 -0.307
-1.759 -2.249 5.750
O Be Os Ba
12 4 3 1
Cartesian
2.659 2.150 1.668
-2.104 4.625 2.568
3.579 -1.166 3.424
4.995 2.730 -0.065
0.244 5.094 1.022
1.446 0.598 3.468
0.232 2.798 2.568
1.446 -1.809 5.201
2.648 4.345 -0.019
-1.994 2.233 4.114
4.885 0.504 1.712
-0.688 0.080 5.155
4.812 -0.785 2.568
-1.921 1.013 5.065
1.446 1.848 2.568
1.446 5.317 0.071
1.679 -1.395 3.200
-1.759 2.624 2.243
2.971 2.468 -0.307
0.000 0.000 0.000
```

Results
Energy relative to the elements, uncorrected ... -33.611 eV per formula unit
M_tot ... 2.0 μB per cell

***

BaBe2OsO8 | PBE | optimized geometry

```
BaBe2OsO8
1.0
-4.088 0.290 2.991
4.299 -2.034 1.769
2.140 6.519 2.293
Os Ba O Be
1 1 8 2
Cartesian
1.070 3.259 1.146
0.000 0.000 0.000
-1.970 2.306 3.242
0.418 1.885 2.210
4.321 2.469 3.811
-0.086 1.175 4.698
3.533 4.922 4.351
1.933 2.890 4.843
-1.182 -0.147 2.702
2.437 3.600 2.355
-0.699 1.323 3.220
3.050 3.452 3.833
```

Results
Energy relative to the elements, uncorrected ... -18.165 eV per formula unit
M_tot ... 2.0 μB per cell

***

BaBePO2 | PBE | optimized geometry

```
BaBePO2
1.0
4.279 0.000 0.000
0.000 4.279 0.000
0.000 0.000 4.051
Be O Ba P
1 2 1 1
Cartesian
0.000 0.000 0.000
2.140 0.000 0.000
0.000 2.140 0.000
2.140 2.140 2.026
0.000 0.000 2.026
```

Results
Energy relative to the elements, uncorrected ... -3.708 eV per formula unit
M_tot ... 0.0 μB per cell

***

Ba2BePO | PBE | optimized geometry

```
Ba2BePO
1.0
6.005 0.000 0.000
0.000 3.896 0.000
0.000 0.000 6.005
Ba Be P O
2 1 1 1
Cartesian
3.003 0.000 0.000
0.000 0.000 3.003
0.000 1.948 0.000
0.000 0.000 0.000
3.003 1.948 3.003
```

Results
Energy relative to the elements, uncorrected ... -2.804 eV per formula unit
M_tot ... 0.0 μB per cell

***

BaBeP2O8 | PBE | optimized geometry

```
BaBeP2O8
1.0
-0.708 -3.826 3.251
4.696 1.606 -1.042
-0.405 4.765 5.519
O P Ba Be
8 2 1 1
Cartesian
0.047 -1.240 4.482
0.405 0.674 2.855
1.062 -1.652 2.241
2.520 4.197 5.488
1.184 2.984 3.766
3.177 1.870 4.874
2.398 -0.439 3.963
3.535 3.785 3.247
0.976 -0.643 3.410
2.606 3.188 4.319
0.000 0.000 0.000
-0.203 2.383 2.760
```

Results
Energy relative to the elements, uncorrected ... -25.838 eV per formula unit
M_tot ... 2.0 μB per cell

***

Ba2BePO | PBE | optimized geometry

```
Ba2BePO
1.0
3.924 0.000 0.000
0.000 6.728 -0.078
0.000 -2.979 8.721
O P Ba Be
2 2 4 2
Cartesian
0.981 2.895 7.103
2.943 0.853 1.540
2.943 0.357 6.203
0.981 3.391 2.441
0.981 0.210 3.448
2.943 5.124 0.287
2.943 3.539 5.195
0.981 -1.375 8.356
2.943 2.311 2.074
0.981 1.437 6.570
```

Results
Energy relative to the elements, uncorrected ... -7.281 eV per formula unit
M_tot ... 0.0 μB per cell

***

BaBePO2 | PBE | optimized geometry

```
BaBePO2
1.0
4.378 0.000 0.000
0.000 4.378 0.000
0.000 0.000 7.110
Be O Ba P
1 2 1 1
Cartesian
2.189 2.189 3.555
0.000 2.189 0.000
2.189 0.000 0.000
0.000 0.000 0.000
0.000 0.000 3.555
```

Results
Energy relative to the elements, uncorrected ... 3.145 eV per formula unit
M_tot ... 1.5 μB per cell

***

BaPa2BeO8 | PBE | optimized geometry

```
BaPa2BeO8
1.0
-4.023 2.683 -0.449
-0.187 -4.797 -0.732
-1.579 -1.098 7.590
Pa O Ba Be
2 8 1 1
Cartesian
-2.822 -3.247 5.885
-2.966 0.035 0.524
-4.742 0.488 6.043
-4.835 -1.905 5.678
-3.053 -2.361 0.142
-1.046 -3.699 0.366
-2.735 -0.851 6.267
-0.953 -1.306 0.731
-2.427 -2.972 3.987
-3.361 -0.239 2.422
-0.789 -0.549 3.795
0.000 0.000 0.000
```

Results
Energy relative to the elements, uncorrected ... -32.358 eV per formula unit
M_tot ... 1.9 μB per cell

***

Ba2PaBe2O6 | PBE | optimized geometry

```
Ba2PaBe2O6
1.0
-3.237 -4.671 0.255
1.783 1.950 -5.095
4.720 -3.066 3.762
Be O Ba Pa
2 6 2 1
Cartesian
1.242 -0.842 0.338
2.025 -4.945 -1.417
2.107 0.162 -3.917
1.570 -4.551 0.019
0.391 -2.314 -3.782
1.697 -1.236 -1.098
1.160 -5.949 2.839
2.876 -3.473 2.704
-0.712 -3.041 -1.298
3.979 -2.746 0.219
0.742 -3.868 2.009
```

Results
Energy relative to the elements, uncorrected ... -31.856 eV per formula unit
M_tot ... 1.0 μB per cell

***

BaPa3Be4O12 | PBE | optimized geometry

```
BaPa3Be4O12
1.0
-3.281 4.481 -3.948
-5.082 -3.523 2.862
2.265 3.861 5.137
Pa Ba O Be
3 1 12 4
Cartesian
-0.253 4.142 1.013
-4.098 0.847 -0.856
-1.746 -0.171 3.895
0.000 0.000 0.000
-3.467 5.099 -1.256
-1.426 0.930 5.680
-1.974 3.490 2.359
-5.928 0.088 -0.096
-0.464 3.418 5.263
-1.263 5.792 0.141
-3.312 1.238 3.022
-5.284 2.659 -1.636
-0.087 5.385 2.943
-3.860 2.500 0.696
-5.743 -0.872 2.421
-3.775 -0.817 4.770
-2.240 6.003 -1.031
-6.347 -0.906 1.004
-3.049 2.409 2.026
-0.559 2.131 6.104
```

Results
Energy relative to the elements, uncorrected ... -61.935 eV per formula unit
M_tot ... 1.0 μB per cell

***

BaPaBe2O6 | PBE | optimized geometry

```
BaPaBe2O6
1.0
5.424 0.000 0.000
2.712 4.697 0.000
2.712 1.566 5.935
O Be Pa Ba
6 2 1 1
Cartesian
6.618 4.420 4.244
7.137 2.741 1.692
4.229 1.842 1.692
4.905 4.810 1.692
3.710 3.521 4.244
5.943 1.452 4.244
8.135 4.697 4.195
2.712 1.566 1.740
5.424 3.131 2.968
0.000 0.000 0.000
```

Results
Energy relative to the elements, uncorrected ... -27.973 eV per formula unit
M_tot ... 1.1 μB per cell

***

Ba3PaBe2O9 | PBE | optimized geometry

```
Ba3PaBe2O9
1.0
5.674 0.000 0.000
-2.837 4.914 0.000
0.000 0.000 8.500
O Be Ba Pa
9 2 3 1
Cartesian
1.419 2.457 0.000
-1.419 2.457 0.000
1.496 0.864 5.583
2.837 0.000 0.000
4.178 0.864 5.583
0.000 1.727 2.917
2.837 3.187 5.583
-1.341 4.051 2.917
1.341 4.051 2.917
0.000 3.276 2.801
2.837 1.638 5.699
0.000 3.276 6.326
0.000 0.000 0.000
2.837 1.638 2.174
0.000 0.000 4.250
```

Results
Energy relative to the elements, uncorrected ... -36.959 eV per formula unit
M_tot ... 3.0 μB per cell

***

Ba3Be2PbO6 | PBE | optimized geometry

```
Ba3Be2PbO6
1.0
5.938 0.000 0.000
-2.969 5.143 0.000
0.000 0.000 7.168
O Be Ba Pb
6 2 3 1
Cartesian
2.969 3.257 5.242
0.000 1.885 1.926
1.336 4.200 1.926
4.306 0.943 5.242
-1.336 4.200 1.926
1.633 0.943 5.242
2.969 1.714 5.331
0.000 3.429 1.837
0.000 3.429 4.916
0.000 0.000 0.000
2.969 1.714 2.252
0.000 0.000 3.584
```

Results
Energy relative to the elements, uncorrected ... -26.928 eV per formula unit
M_tot ... 0.0 μB per cell

***

Ba2BePbO | PBE | optimized geometry

```
Ba2BePbO
1.0
-4.106 -4.840 -2.024
3.554 -2.579 -1.042
-0.039 -2.542 6.158
Ba Be O Pb
2 1 1 1
Cartesian
-0.019 -1.271 3.079
-2.053 -2.420 -1.012
-0.295 -4.980 1.546
1.777 -1.289 -0.521
0.000 0.000 0.000
```

Results
Energy relative to the elements, uncorrected ... 1.626 eV per formula unit
M_tot ... 1.1 μB per cell

***

BaBe4Pb3O12 | PBE | optimized geometry

```
BaBe4Pb3O12
1.0
6.731 0.006 0.009
-1.616 6.534 0.009
-1.616 -2.066 6.199
Be O Ba Pb
4 12 1 3
Cartesian
1.750 6.038 0.372
5.438 -0.648 3.108
1.750 2.237 3.108
-1.939 1.321 5.844
5.175 3.087 0.568
2.903 5.048 0.206
-1.675 4.916 3.108
-2.065 2.478 4.852
-0.701 0.441 6.010
5.564 0.660 2.326
1.750 -1.292 5.648
4.200 -1.085 3.890
1.750 0.976 4.015
2.973 2.541 2.201
0.596 5.881 1.364
0.526 3.194 3.108
0.000 0.000 0.000
3.007 2.919 0.009
2.108 -1.141 3.437
-1.616 2.697 2.770
```

Results
Energy relative to the elements, uncorrected ... -31.355 eV per formula unit
M_tot ... 2.1 μB per cell

***

BaBePbO4 | PBE | optimized geometry

```
BaBePbO4
1.0
5.252 0.000 -0.099
0.000 5.592 0.000
-2.187 0.000 6.818
Pb O Be Ba
2 8 2 2
Cartesian
-0.061 1.398 3.704
3.127 4.194 3.015
1.959 1.398 2.996
-0.572 5.475 2.049
3.638 0.117 4.670
3.638 2.679 4.670
1.776 4.194 1.160
1.107 4.194 3.723
-0.572 2.913 2.049
1.289 1.398 5.559
2.550 1.398 4.496
0.516 4.194 2.223
1.373 1.398 0.497
1.693 4.194 6.222
```

Results
Energy relative to the elements, uncorrected ... -13.244 eV per formula unit
M_tot ... 0.0 μB per cell